Entry 1:
Compound: Mg8Tl3Ga3
Source: the Alexandria database
Functional: PBE
Structure: optimized geometry

Its energy of formation is -0.33 eV per formula unit. For the theoretical density, the calculation gives 5.22 g/cm3.

It has space group P-1 (No. 2), with a = 5.683 Å, b = 7.450 Å, c = 8.287 Å, α = 75.64°, β = 75.12° and γ = 76.78°. The distinct sites, in fractional coordinates, are Mg at (0.062, 0.277, 0.012), Mg at (0.168, 0.389, 0.349), Mg at (0.422, 0.924, 0.872), Mg at (0.425, 0.336, 0.661), Tl at (0.065, 0.875, 0.283), Tl at (0.500, 0.500, 0.000), Ga at (0.267, 0.718, 0.666) and Ga at (0.500, 0.000, 0.500).


Entry 2:
Compound: MgTlGa2
Source: the Alexandria database
Functional: PBE
Structure: optimized geometry

Its distance to the lowest polymorph of the same formula is 17 meV/atom. Its energy of formation is 0.10 eV per formula unit. For the theoretical density, the calculation gives 6.99 g/cm3.

It has space group P4/mmm (No. 123), with a = 4.470 Å, b = 4.470 Å, c = 4.377 Å, α = 90.00°, β = 90.00° and γ = 90.00°. The distinct sites, in fractional coordinates, are Mg at (0.000, 0.000, 0.000), Tl at (0.500, 0.500, 0.000) and Ga at (0.000, 0.500, 0.500).


Entry 3:
Compound: Mg2TlGa
Source: the Alexandria database
Functional: PBE
Structure: optimized geometry

Its distance to the lowest polymorph of the same formula is 0 meV/atom. Its energy of formation is -0.29 eV per formula unit. For the theoretical density, the calculation gives 6.03 g/cm3.

It has space group P4/mmm (No. 123), with a = 3.518 Å, b = 3.518 Å, c = 7.182 Å, α = 90.00°, β = 90.00° and γ = 90.00°. The distinct sites, in fractional coordinates, are Mg at (0.000, 0.000, 0.224), Tl at (0.500, 0.500, 0.500) and Ga at (0.500, 0.500, 0.000).


Entry 4:
Compound: Mg2TlGa
Source: the Alexandria database
Functional: PBE
Structure: optimized geometry

Its distance to the lowest polymorph of the same formula is 23 meV/atom. Its energy of formation is -0.20 eV per formula unit. For the theoretical density, the calculation gives 6.04 g/cm3.

It has space group Fm-3m (No. 225), with a = 7.081 Å, b = 7.081 Å, c = 7.081 Å, α = 90.00°, β = 90.00° and γ = 90.00°. The distinct sites, in fractional coordinates, are Mg at (0.250, 0.250, 0.250), Tl at (0.000, 0.000, 0.000) and Ga at (0.000, 0.000, 0.500).